1.
# CsLuMo2O8 (GGA-PBEsol, optimized geometry)
data_CsLuMo2O8
_chemical_formula_sum 'Cs2 Lu2 Mo4 O16'
_space_group_name_H-M_alt 'P 1'
_space_group_IT_number 1
_space_group_name_Hall 'P 1'
_cell_length_a 7.400
_cell_length_b 7.400
_cell_length_c 7.564
_cell_angle_alpha 117.86
_cell_angle_beta 117.86
_cell_angle_gamma 88.29
loop_
_atom_site_label
_atom_site_type_symbol
_atom_site_fract_x
_atom_site_fract_y
_atom_site_fract_z
Cs1 Cs 0.195 0.805 0.750
Cs2 Cs 0.805 0.195 0.250
Lu1 Lu 0.229 0.771 0.250
Lu2 Lu 0.771 0.229 0.750
Mo1 Mo 0.303 0.307 0.269
Mo2 Mo 0.307 0.303 0.769
Mo3 Mo 0.693 0.697 0.231
Mo4 Mo 0.697 0.693 0.731
O1 O 0.050 0.218 0.706
O2 O 0.062 0.375 0.120
O3 O 0.218 0.050 0.206
O4 O 0.243 0.384 0.567
O5 O 0.369 0.589 0.037
O6 O 0.375 0.062 0.620
O7 O 0.384 0.243 0.067
O8 O 0.411 0.631 0.463
O9 O 0.589 0.369 0.537
O10 O 0.616 0.757 0.933
O11 O 0.625 0.938 0.380
O12 O 0.631 0.411 0.963
O13 O 0.757 0.616 0.433
O14 O 0.782 0.950 0.794
O15 O 0.938 0.625 0.880
O16 O 0.950 0.782 0.294
# Uncorrected formation energy ... -2.442 eV per atom
# DFT total energy ... -201.3 eV per cell
# Fermi-level density of states ... 0.00 states/eV per atom
# Space-group type ... C2/c, No. 15



2.
# CsLuMo2O8 (GGA-PBEsol, optimized geometry)
data_CsLuMo2O8
_chemical_formula_sum 'Cs2 Lu2 Mo4 O16'
_space_group_name_H-M_alt 'P 1'
_space_group_IT_number 1
_space_group_name_Hall 'P 1'
_cell_length_a 4.968
_cell_length_b 9.453
_cell_length_c 7.774
_cell_angle_alpha 90.00
_cell_angle_beta 90.00
_cell_angle_gamma 90.00
loop_
_atom_site_label
_atom_site_type_symbol
_atom_site_fract_x
_atom_site_fract_y
_atom_site_fract_z
Cs1 Cs 0.000 0.000 0.250
Cs2 Cs 0.000 0.000 0.750
Lu1 Lu 0.000 0.500 0.250
Lu2 Lu 0.000 0.500 0.750
Mo1 Mo 0.476 0.310 0.000
Mo2 Mo 0.476 0.690 0.500
Mo3 Mo 0.524 0.310 0.500
Mo4 Mo 0.524 0.690 0.000
O1 O 0.247 0.440 0.500
O2 O 0.247 0.560 0.000
O3 O 0.256 0.316 0.180
O4 O 0.256 0.316 0.820
O5 O 0.256 0.684 0.320
O6 O 0.256 0.684 0.680
O7 O 0.388 0.143 0.500
O8 O 0.388 0.857 0.000
O9 O 0.612 0.143 0.000
O10 O 0.612 0.857 0.500
O11 O 0.744 0.316 0.320
O12 O 0.744 0.316 0.680
O13 O 0.744 0.684 0.180
O14 O 0.744 0.684 0.820
O15 O 0.753 0.440 0.000
O16 O 0.753 0.560 0.500
# Uncorrected formation energy ... -2.476 eV per atom
# DFT total energy ... -202.1 eV per cell
# Fermi-level density of states ... 0.00 states/eV per atom
# Space-group type ... Pccm, No. 49



3.
# CsLuMo2O8 (GGA-PBEsol, optimized geometry)
data_CsLuMo2O8
_chemical_formula_sum 'Cs1 Lu1 Mo2 O8'
_space_group_name_H-M_alt 'P 1'
_space_group_IT_number 1
_space_group_name_Hall 'P 1'
_cell_length_a 5.911
_cell_length_b 5.911
_cell_length_c 8.057
_cell_angle_alpha 90.00
_cell_angle_beta 90.00
_cell_angle_gamma 120.00
loop_
_atom_site_label
_atom_site_type_symbol
_atom_site_fract_x
_atom_site_fract_y
_atom_site_fract_z
Cs1 Cs 0.000 0.000 0.000
Lu1 Lu 0.000 0.000 0.500
Mo1 Mo 0.333 0.667 0.268
Mo2 Mo 0.667 0.333 0.732
O1 O 0.169 0.337 0.338
O2 O 0.169 0.831 0.338
O3 O 0.333 0.667 0.054
O4 O 0.337 0.169 0.662
O5 O 0.663 0.831 0.338
O6 O 0.667 0.333 0.946
O7 O 0.831 0.169 0.662
O8 O 0.831 0.663 0.662
# Uncorrected formation energy ... -2.479 eV per atom
# DFT total energy ... -101.1 eV per cell
# Fermi-level density of states ... 0.00 states/eV per atom
# Space-group type ... P-3m1, No. 164



Number 1 is which compound? CsLuMo2O8